[1]
A relaxed structure of TmCuIr4, computed with GGA-PBE.

a = 5.2302 Å, b = 5.2302 Å, c = 5.2302 Å
α = 60.00°, β = 60.00°, γ = 60.00°
Sites, in units of the cell vectors:
Ir 0.6253 0.6253 0.1240
Ir 0.1240 0.6253 0.6253
Cu 0.0000 0.0000 0.0000
Tm 0.2500 0.2500 0.2500
Ir 0.6253 0.1240 0.6253
Ir 0.6253 0.6253 0.6253

Output
Calculated total energy: -45.42 eV for the cell shown
Energy of formation from the pure elements: -0.235 eV per atom


[2]
A relaxed structure of Co2NiIr2, computed with GGA-PBE.

a = 7.1167 Å, b = 7.1167 Å, c = 2.6724 Å
α = 90.00°, β = 90.00°, γ = 90.00°
Last column: magnetic moment on the atom in μB.
Sites, in units of the cell vectors:
Ir 0.8677 0.6323 0.0000  0.44
Co 0.6664 0.8336 0.5000  1.54
Ni 0.0000 0.0000 0.0000  0.73
Ir 0.6323 0.1323 0.0000  0.45
Ir 0.1323 0.3677 0.0000  0.44
Ni 0.5000 0.5000 0.0000  0.73
Co 0.8336 0.3336 0.5000  1.54
Ir 0.3677 0.8677 0.0000  0.45
Co 0.1664 0.6664 0.5000  1.54
Co 0.3336 0.1664 0.5000  1.54

Output
Calculated total energy: -72.27 eV for the cell shown
Energy of formation from the pure elements: 0.316 eV per atom